1.
A plane-wave DFT calculation with PBE-GGA was carried out for LiBeZnFe after structural relaxation.

Distance to the lowest polymorph of the same formula   0.0 meV per atom
E   -3.6767 eV per atom
Magnetization   0.5061 μB per atom
ρ   5.01 g/cm3

a b c (Å): 5.665 5.665 5.665
angles (deg): 90.00 90.00 90.00
Space group F-43m (No. 216)
One atom of each set of equivalent atoms:
Li1 0.000 0.000 0.000
Be1 0.250 0.250 0.750
Zn1 0.250 0.250 0.250
Fe1 0.000 0.000 0.500


2.
A plane-wave DFT calculation with PBE-GGA was carried out for KCoReAu after structural relaxation.

Distance to the lowest polymorph of the same formula   258.0 meV per atom
E   -4.3257 eV per atom
Magnetization   0.0014 μB per atom
ρ   11.66 g/cm3

a b c (Å): 6.496 6.496 6.496
angles (deg): 90.00 90.00 90.00
Space group F-43m (No. 216)
One atom of each set of equivalent atoms:
K1 0.000 0.000 0.000
Co1 0.250 0.250 0.250
Re1 0.250 0.250 0.750
Au1 0.000 0.000 0.500


3.
A plane-wave DFT calculation with PBE-GGA was carried out for Cu7Ag3 after structural relaxation.

Distance to the lowest polymorph of the same formula   36.2 meV per atom
E   -3.3682 eV per atom
ρ   9.34 g/cm3
DFT formation energy   78 kJ/mol of formula units

a b c (Å): 13.862 3.704 5.426
angles (deg): 90.00 101.38 90.00
Space group Cm (No. 8)
One atom of each set of equivalent atoms:
Cu1 0.000 0.000 0.000
Cu2 0.001 0.000 0.502
Cu3 0.221 0.000 0.612
Cu4 0.318 0.500 0.898
Cu5 0.319 0.500 0.422
Cu6 0.408 0.000 0.705
Cu7 0.413 0.000 0.207
Ag1 0.106 0.500 0.800
Ag2 0.108 0.500 0.309
Ag3 0.222 0.000 0.111


4.
A plane-wave DFT calculation with PBE-GGA was carried out for NdDyH4 after structural relaxation.

E   -4.4699 eV per atom
Magnetization   0.0003 μB per atom
ρ   6.91 g/cm3

a b c (Å): 3.743 3.743 5.331
angles (deg): 90.00 90.00 90.00
Space group P4/mmm (No. 123)
One atom of each set of equivalent atoms:
Nd1 0.000 0.000 0.000
Dy1 0.500 0.500 0.500
H1 0.000 0.500 0.265


5.
A plane-wave DFT calculation with PBE-GGA was carried out for Ac2Co3Ni after structural relaxation.

E   -4.9116 eV per atom
Magnetization   0.3205 μB per atom
ρ   9.37 g/cm3
DFT formation energy   543 kJ/mol of formula units

a b c (Å): 5.5731 5.5731 4.5402
angles (deg): 90.00 90.00 120.00
Space group P6/mmm (No. 191)
One atom of each set of equivalent atoms:
Ac1 0.3333 0.6667 0.0000
Co1 0.0000 0.5000 0.5000
Ni1 0.0000 0.0000 0.0000


6.
A plane-wave DFT calculation with PBE-GGA was carried out for LiScZnSn after structural relaxation.

Distance to the lowest polymorph of the same formula   242.1 meV per atom
E   -3.5358 eV per atom
Magnetization   0.0042 μB per atom
ρ   5.14 g/cm3

a b c (Å): 6.731 6.731 6.731
angles (deg): 90.00 90.00 90.00
Space group F-43m (No. 216)
One atom of each set of equivalent atoms:
Li1 0.000 0.000 0.000
Sc1 0.250 0.250 0.750
Zn1 0.250 0.250 0.250
Sn1 0.000 0.000 0.500


7.
A plane-wave DFT calculation with PBE-GGA was carried out for Ho2TmMg3Ir2Pt after structural relaxation.

E   -5.4695 eV per atom
Magnetization   0.0012 μB per atom
ρ   10.34 g/cm3

a b c (Å): 4.021 12.615 7.288
angles (deg): 90.00 90.00 90.00
Space group Amm2 (No. 38)
One atom of each set of equivalent atoms:
Ho1 0.000 0.207 0.000
Tm1 0.000 0.000 0.619
Mg1 0.500 0.000 0.957
Mg2 0.500 0.124 0.331
Ir1 0.500 0.166 0.706
Pt1 0.000 0.000 0.208


8.
A plane-wave DFT calculation with PBE-GGA was carried out for CsHoCuTe3 after structural relaxation.

E   -4.0254 eV per atom
Magnetization   0.0003 μB per atom
ρ   5.72 g/cm3

a b c (Å): 10.489 4.257 10.750
angles (deg): 90.00 115.84 90.00
Space group P2_1/m (No. 11)
One atom of each set of equivalent atoms:
Cs1 0.221 0.250 0.250
Ho1 0.322 0.750 0.856
Cu1 0.084 0.250 0.600
Te1 0.115 0.250 0.856
Te2 0.195 0.750 0.537
Te3 0.480 0.750 0.171


9.
A plane-wave DFT calculation with PBE-GGA was carried out for Mg2PdAu after structural relaxation.

E   -3.5645 eV per atom
ρ   8.61 g/cm3

a b c (Å): 4.575 4.575 6.486
angles (deg): 90.00 90.00 90.00
Space group I4/mmm (No. 139)
One atom of each set of equivalent atoms:
Mg1 0.000 0.500 0.250
Pd1 0.000 0.000 0.000
Au1 0.000 0.000 0.500


10.
A plane-wave DFT calculation with PBE-GGA was carried out for CuH6C2SeI after structural relaxation.

E   -4.4641 eV per atom
ρ   3.23 g/cm3

a b c (Å): 7.634 7.143 11.321
angles (deg): 90.00 92.22 90.00
Space group P2_1/c (No. 14)
One atom of each set of equivalent atoms:
Cu1 0.002 0.044 0.380
H1 0.105 0.581 0.431
H2 0.279 0.504 0.339
H3 0.310 0.709 0.434
H4 0.331 0.525 0.634
H5 0.415 0.741 0.159
H6 0.428 0.586 0.776
C1 0.216 0.625 0.379
C2 0.352 0.637 0.699
Se1 0.121 0.712 0.753
I1 0.256 0.141 0.526


11.
A plane-wave DFT calculation with PBE-GGA was carried out for BeAgTeIr after structural relaxation.

Distance to the lowest polymorph of the same formula   0.0 meV per atom
E   -4.2020 eV per atom
Magnetization   0.0002 μB per atom
ρ   10.97 g/cm3

a b c (Å): 6.418 6.418 6.418
angles (deg): 90.00 90.00 90.00
Space group F-43m (No. 216)
One atom of each set of equivalent atoms:
Be1 0.000 0.000 0.000
Ag1 0.250 0.250 0.250
Te1 0.000 0.000 0.500
Ir1 0.250 0.250 0.750


12.
A plane-wave DFT calculation with PBE-GGA was carried out for RbNdNO after structural relaxation.

Distance to the lowest polymorph of the same formula   12.0 meV per atom
E   -5.8631 eV per atom
Magnetization   0.2501 μB per atom
ρ   4.32 g/cm3

a b c (Å): 3.851 7.726 6.711
angles (deg): 90.00 90.00 90.00
Space group Pmc2_1 (No. 26)
One atom of each set of equivalent atoms:
Rb1 0.000 0.158 0.000
Nd1 0.500 0.341 0.490
N1 0.500 0.391 0.835
O1 0.000 0.199 0.423


- What is the E in the sixth record?
  -3.5358 eV per atom


Copy entry 6 word for word.
A plane-wave DFT calculation with PBE-GGA was carried out for LiScZnSn after structural relaxation.

Distance to the lowest polymorph of the same formula   242.1 meV per atom
E   -3.5358 eV per atom
Magnetization   0.0042 μB per atom
ρ   5.14 g/cm3

a b c (Å): 6.731 6.731 6.731
angles (deg): 90.00 90.00 90.00
Space group F-43m (No. 216)
One atom of each set of equivalent atoms:
Li1 0.000 0.000 0.000
Sc1 0.250 0.250 0.750
Zn1 0.250 0.250 0.250
Sn1 0.000 0.000 0.500